[1]
ZrAlHg | PBE-GGA | relaxed

```
ZrAlHg
1.0
0.000 3.321 3.321
3.321 0.000 3.321
3.321 3.321 0.000
Zr Al Hg
1 1 1
Direct
0.000 0.000 0.000
0.250 0.250 0.250
0.750 0.750 0.750
```

Computed properties:
E_form, eV per atom: 0.27
Distance to the lowest polymorph of the same formula, meV per atom: 543
DFT total energy, eV per cell: -11.79
DOS at the Fermi energy, states/eV per cell: 2.2

[2]
SiB2H | PBE-GGA | relaxed

```
SiB2H
1.0
-1.665 1.665 5.665
1.665 -1.665 5.665
1.665 1.665 -5.665
Si B H
2 4 2
Direct
0.000 0.000 0.000
0.750 0.250 0.500
0.266 0.625 0.141
0.375 0.516 0.641
0.484 0.125 0.859
0.875 0.734 0.359
0.250 0.750 0.500
0.500 0.500 0.000
```

Computed properties:
Distance to the lowest polymorph of the same formula, meV per atom: 0
DFT total energy, eV per cell: -39.23
DOS at the Fermi energy, states/eV per cell: 2.6

[3]
Mn2SnCl6 | PBE-GGA | relaxed

```
Mn2SnCl6
1.0
6.541 0.000 0.000
-3.271 5.665 0.000
0.000 0.000 6.211
Mn Sn Cl
2 1 6
Direct
0.333 0.667 0.000
0.667 0.333 0.000
0.000 0.000 0.500
0.000 0.359 0.230
0.000 0.641 0.770
0.359 0.000 0.230
0.359 0.359 0.770
0.641 0.000 0.770
0.641 0.641 0.230
```

Computed properties:
DFT total energy, eV per cell: -42.84
Raw formation energy, kJ per mole of atoms: -100.9
DOS at the Fermi energy, states/eV per cell: 0.0

[4]
CrAgBi2 | PBE-GGA | relaxed

```
CrAgBi2
1.0
-2.391 2.391 9.505
2.391 -2.391 9.505
2.391 2.391 -9.505
Cr Ag Bi
2 2 4
Direct
0.000 0.000 0.000
0.750 0.250 0.500
0.250 0.750 0.500
0.500 0.500 0.000
0.120 0.625 0.995
0.375 0.370 0.495
0.630 0.125 0.005
0.875 0.880 0.505
```

Computed properties:
E_form, eV per atom: 0.43
DFT total energy, eV per cell: -37.02
DOS at the Fermi energy, states/eV per cell: 4.9

- Which formula does entry 2 have?
  SiB2H